Compound: Tb2Pr6Ho3Er
Source: Alexandria via LeMat-Bulk
Functional: PBE
Structure: relaxed

```
Tb2Pr6Ho3Er
1.0
6.300 -0.001 0.008
-3.149 5.457 0.008
-1.062 -1.838 11.680
Pr Tb Ho Er
6 2 3 1
direct
0.417 0.084 0.250 Pr
0.916 0.583 0.750 Pr
0.583 0.916 0.750 Pr
0.249 0.249 0.749 Pr
0.751 0.751 0.251 Pr
0.084 0.417 0.250 Pr
0.667 0.333 0.000 Tb
0.333 0.667 0.000 Tb
0.833 0.167 0.500 Ho
0.167 0.833 0.500 Ho
0.500 0.500 0.500 Ho
0.000 0.000 0.000 Er
```

Computed properties:
* energy relative to the elements: 0.01 eV/atom
* mass density: 7.55 g/cm³
* symmetry: C2/m (12)
* calculated total energy: -4.674 eV per atom

=====

Compound: TbPr6HoEr2
Source: Alexandria via LeMat-Bulk
Functional: PBE
Structure: relaxed

```
TbPr6HoEr2
1.0
-2.597 6.418 -6.769
-6.612 -5.744 -2.040
-1.405 5.700 6.813
Ho Pr Er Tb
2 12 4 2
direct
0.750 0.588 0.412 Ho
0.250 0.412 0.588 Ho
0.946 0.886 0.236 Pr
0.117 0.706 0.488 Pr
0.188 0.563 0.006 Pr
0.383 0.512 0.294 Pr
0.688 0.006 0.563 Pr
0.883 0.294 0.512 Pr
0.554 0.764 0.114 Pr
0.812 0.437 0.994 Pr
0.446 0.236 0.886 Pr
0.312 0.994 0.437 Pr
0.054 0.114 0.764 Pr
0.617 0.488 0.706 Pr
0.047 0.296 0.201 Er
0.953 0.704 0.799 Er
0.547 0.201 0.296 Er
0.453 0.799 0.704 Er
0.750 0.029 0.971 Tb
0.250 0.971 0.029 Tb
```

Computed properties:
* energy relative to the elements: 0.12 eV/atom
* mass density: 7.25 g/cm³
* symmetry: C2/c (15)
* calculated total energy: -4.586 eV per atom

=====

Compound: Tb2Pr2Ho4Er
Source: Alexandria via LeMat-Bulk
Functional: PBE
Structure: relaxed

```
Tb2Pr2Ho4Er
1.0
3.605 0.000 0.000
-1.802 9.334 -0.492
0.000 -3.691 8.835
Er Tb Pr Ho
1 2 2 4
direct
0.000 0.000 0.000 Er
0.853 0.707 0.338 Tb
0.147 0.293 0.662 Tb
0.665 0.330 0.000 Pr
0.335 0.670 0.000 Pr
0.185 0.370 0.337 Ho
0.519 0.039 0.334 Ho
0.481 0.961 0.666 Ho
0.815 0.630 0.663 Ho
```

Computed properties:
* energy relative to the elements: 0.00 eV/atom
* mass density: 8.15 g/cm³
* symmetry: C2/m (12)
* calculated total energy: -4.632 eV per atom

=====

Compound: Tb2PrHo6Er3
Source: Alexandria via LeMat-Bulk
Functional: PBE
Structure: relaxed

```
Tb2PrHo6Er3
1.0
6.130 0.002 0.014
-3.062 5.311 0.014
-1.044 -1.808 11.541
Ho Pr Tb Er
6 1 2 3
direct
0.915 0.581 0.747 Ho
0.751 0.751 0.253 Ho
0.419 0.085 0.253 Ho
0.249 0.249 0.747 Ho
0.085 0.419 0.253 Ho
0.581 0.915 0.747 Ho
0.000 0.000 0.000 Pr
0.333 0.667 0.000 Tb
0.667 0.333 0.000 Tb
0.833 0.167 0.500 Er
0.500 0.500 0.500 Er
0.167 0.833 0.500 Er
```

Computed properties:
* energy relative to the elements: 0.02 eV/atom
* mass density: 8.61 g/cm³
* symmetry: C2/m (12)
* calculated total energy: -4.580 eV per atom

=====

Compound: Tb2PrHo5Er
Source: Alexandria via LeMat-Bulk
Functional: PBE
Structure: relaxed

```
Tb2PrHo5Er
1.0
-7.422 -4.926 -0.454
3.627 -4.861 -6.540
4.664 0.267 8.470
Ho Tb Er Pr
10 4 2 2
direct
0.662 0.162 0.735 Ho
0.338 0.838 0.265 Ho
0.573 0.662 0.735 Ho
0.500 0.500 0.000 Ho
0.073 0.573 0.735 Ho
0.927 0.427 0.265 Ho
0.427 0.338 0.265 Ho
0.162 0.073 0.735 Ho
0.000 0.000 0.000 Ho
0.838 0.927 0.265 Ho
0.613 0.113 0.000 Tb
0.887 0.613 0.000 Tb
0.387 0.887 0.000 Tb
0.113 0.387 0.000 Tb
0.250 0.750 0.500 Er
0.750 0.250 0.500 Er
0.250 0.250 0.500 Pr
0.750 0.750 0.500 Pr
```

Computed properties:
* energy relative to the elements: 0.29 eV/atom
* mass density: 8.26 g/cm³
* symmetry: I4/mcm (140)
* calculated total energy: -4.323 eV per atom

=====

Compound: TbPr2HoEr4
Source: Alexandria via LeMat-Bulk
Functional: PBE
Structure: relaxed

```
TbPr2HoEr4
1.0
9.337 -0.024 -1.769
-0.031 9.337 -1.769
-5.912 -5.916 8.350
Ho Pr Er Tb
2 4 8 2
direct
0.500 0.500 0.500 Ho
0.000 0.000 0.000 Ho
0.500 0.500 0.000 Pr
0.000 0.000 0.500 Pr
0.500 0.000 0.000 Pr
0.500 0.000 0.500 Pr
0.750 0.748 0.994 Er
0.250 0.252 0.006 Er
0.245 0.754 0.999 Er
0.755 0.246 0.001 Er
0.248 0.250 0.494 Er
0.746 0.255 0.501 Er
0.254 0.745 0.499 Er
0.752 0.750 0.506 Er
0.000 0.500 0.000 Tb
0.000 0.500 0.500 Tb
```

Computed properties:
* energy relative to the elements: 0.42 eV/atom
* mass density: 7.96 g/cm³
* symmetry: C2/c (15)
* calculated total energy: -4.203 eV per atom

=====

Compound: TbPrHo3Er
Source: Alexandria via LeMat-Bulk
Functional: PBE
Structure: relaxed

```
TbPrHo3Er
1.0
5.603 0.000 0.000
-2.801 9.741 1.662
0.000 -1.173 6.953
Er Tb Ho Pr
2 2 6 2
direct
0.944 0.888 0.718 Er
0.056 0.112 0.282 Er
0.651 0.301 0.454 Tb
0.349 0.699 0.546 Tb
0.779 0.557 0.760 Ho
0.163 0.326 0.727 Ho
0.837 0.674 0.273 Ho
0.477 0.954 0.268 Ho
0.523 0.046 0.732 Ho
0.221 0.443 0.240 Ho
0.357 0.714 0.972 Pr
0.643 0.286 0.028 Pr
```

Computed properties:
* energy relative to the elements: 0.22 eV/atom
* mass density: 8.18 g/cm³
* symmetry: C2/m (12)
* calculated total energy: -4.401 eV per atom

=====

Compound: Tb2Pr6HoEr
Source: Alexandria via LeMat-Bulk
Functional: PBE
Structure: relaxed

```
Tb2Pr6HoEr
1.0
1.524 9.334 -2.208
-4.391 -1.748 -7.675
-4.904 1.884 7.324
Pr Tb Er Ho
12 4 2 2
direct
0.810 0.435 0.992 Pr
0.117 0.707 0.491 Pr
0.946 0.883 0.237 Pr
0.690 0.008 0.565 Pr
0.446 0.237 0.883 Pr
0.383 0.509 0.293 Pr
0.054 0.117 0.763 Pr
0.190 0.565 0.008 Pr
0.883 0.293 0.509 Pr
0.310 0.992 0.435 Pr
0.617 0.491 0.707 Pr
0.554 0.763 0.117 Pr
0.046 0.296 0.200 Tb
0.454 0.800 0.704 Tb
0.954 0.704 0.800 Tb
0.546 0.200 0.296 Tb
0.750 0.588 0.412 Er
0.250 0.412 0.588 Er
0.250 0.973 0.027 Ho
0.750 0.027 0.973 Ho
```

Computed properties:
* energy relative to the elements: 0.12 eV/atom
* mass density: 7.19 g/cm³
* symmetry: C2/c (15)
* calculated total energy: -4.592 eV per atom

=====

Compound: Tb2Pr5HoEr
Source: Alexandria via LeMat-Bulk
Functional: PBE
Structure: relaxed

```
Tb2Pr5HoEr
1.0
5.666 0.000 0.000
-2.833 10.310 0.000
0.000 0.000 10.741
Ho Tb Pr Er
2 4 10 2
direct
0.802 0.604 0.510 Ho
0.198 0.396 0.010 Ho
0.886 0.771 0.806 Tb
0.114 0.229 0.306 Tb
0.887 0.774 0.239 Tb
0.113 0.226 0.739 Tb
0.721 0.442 0.814 Pr
0.279 0.558 0.314 Pr
0.985 0.970 0.515 Pr
0.704 0.409 0.207 Pr
0.382 0.764 0.020 Pr
0.015 0.030 0.015 Pr
0.515 0.030 0.246 Pr
0.296 0.591 0.707 Pr
0.618 0.236 0.520 Pr
0.485 0.970 0.746 Pr
0.594 0.188 0.967 Er
0.406 0.812 0.467 Er
```

Computed properties:
* energy relative to the elements: 0.14 eV/atom
* mass density: 7.17 g/cm³
* symmetry: Cmc2_1 (36)
* calculated total energy: -4.563 eV per atom

=====

Compound: Tb2Pr2HoEr2
Source: Alexandria via LeMat-Bulk
Functional: PBE
Structure: relaxed

```
Tb2Pr2HoEr2
1.0
3.525 0.000 0.000
-1.762 5.586 1.805
0.000 0.314 11.873
Ho Tb Pr Er
1 2 2 2
direct
0.000 0.000 0.500 Ho
0.450 0.900 0.767 Tb
0.550 0.100 0.233 Tb
0.670 0.340 0.915 Pr
0.330 0.660 0.085 Pr
0.227 0.453 0.634 Er
0.773 0.547 0.366 Er
```

Computed properties:
* energy relative to the elements: 0.08 eV/atom
* mass density: 7.87 g/cm³
* symmetry: C2/m (12)
* calculated total energy: -4.562 eV per atom

=====

Compound: Tb6Pr3HoEr2
Source: Alexandria via LeMat-Bulk
Functional: PBE
Structure: relaxed

```
Tb6Pr3HoEr2
1.0
-5.485 2.824 0.772
0.281 -6.201 -0.347
3.062 0.535 11.465
Pr Tb Ho Er
3 6 1 2
direct
0.167 0.833 0.500 Pr
0.500 0.500 0.500 Pr
0.833 0.167 0.500 Pr
0.082 0.415 0.245 Tb
0.415 0.082 0.245 Tb
0.918 0.585 0.755 Tb
0.585 0.918 0.755 Tb
0.748 0.748 0.244 Tb
0.252 0.252 0.756 Tb
0.000 0.000 0.000 Ho
0.667 0.333 0.000 Er
0.333 0.667 0.000 Er
```

Computed properties:
* energy relative to the elements: 0.02 eV/atom
* mass density: 7.95 g/cm³
* symmetry: C2/m (12)
* calculated total energy: -4.632 eV per atom

=====

Compound: Pr2HoEr3Te6
Source: Alexandria via LeMat-Bulk
Functional: PBE
Structure: relaxed

```
Pr2HoEr3Te6
1.0
-2.433 -3.567 -0.439
4.288 -2.000 -7.523
6.327 -2.557 7.160
Er Te Ho Pr
3 6 1 2
direct
0.500 0.500 0.000 Er
0.826 0.163 0.653 Er
0.174 0.837 0.347 Er
0.995 0.248 0.990 Te
0.005 0.752 0.010 Te
0.336 0.929 0.673 Te
0.339 0.406 0.679 Te
0.661 0.594 0.321 Te
0.664 0.071 0.327 Te
0.500 0.000 0.000 Ho
0.171 0.339 0.342 Pr
0.829 0.661 0.658 Pr
```

Computed properties:
* mass density: 7.90 g/cm³
* symmetry: C2/m (12)
* calculated total energy: -5.187 eV per atom
* raw formation energy: -1502 kJ/mol of formula units

=====

> Which of these has the highest calculated total energy?

TbPr2HoEr4

=====

> What is the mass density in the second record?

7.25 g/cm³